Entry 1:
The following is a DFT calculation (PBE) of an optimized crystal structure of Dy3Al4.

Results
As for the space group: Immm (71). Its relative energy among the computed polymorphs is 0.00 eV per formula unit. The formation energy is -0.43 eV/atom.

Cell lengths 4.520, 3.579, 10.266 Å; angles 100.04, 102.72, 90.00 degrees
Fractional coordinates of all 7 atoms:
Al: 0.934 0.434 0.867
Al: 0.066 0.566 0.133
Al: 0.639 0.639 0.278
Al: 0.361 0.361 0.722
Dy: 0.804 0.804 0.609
Dy: 0.196 0.196 0.391
Dy: 0.500 0.000 0.000


Entry 2:
The following is a DFT calculation (PBE) of an optimized crystal structure of NdCd2Au8.

Results
As for the space group: C2/m (12). The formation energy is -0.27 eV/atom.

Cell lengths 5.200, 8.076, 8.076 Å; angles 119.14, 108.70, 108.70 degrees
Fractional coordinates of all 11 atoms:
Au: 0.854 0.913 0.665
Au: 0.500 0.217 0.783
Au: 0.146 0.087 0.335
Au: 0.697 0.444 0.444
Au: 0.500 0.783 0.217
Au: 0.303 0.556 0.556
Au: 0.146 0.335 0.087
Au: 0.854 0.665 0.913
Cd: 0.000 0.686 0.314
Cd: 0.000 0.314 0.686
Nd: 0.500 0.000 0.000


Entry 3:
The following is a DFT calculation (PBE) of an optimized crystal structure of Cs2CuPtI6.

Results
As for the space group: R-3m (166). Its relative energy among the computed polymorphs is 0.10 eV per formula unit. The value obtained for the formation energy from raw total energies is -652 meV/atom.

Cell lengths 8.069, 8.069, 14.406 Å; angles 73.74, 73.74, 60.00 degrees
Fractional coordinates of all 20 atoms:
I: 0.383 0.383 0.377
I: 0.383 0.858 0.377
I: 0.712 0.204 0.880
I: 0.617 0.617 0.623
I: 0.617 0.142 0.623
I: 0.288 0.796 0.120
I: 0.204 0.204 0.880
I: 0.204 0.712 0.880
I: 0.142 0.617 0.623
I: 0.796 0.796 0.120
I: 0.796 0.288 0.120
I: 0.858 0.383 0.377
Pt: 0.500 0.500 0.500
Pt: 0.000 0.000 0.000
Cu: 0.416 0.416 0.753
Cu: 0.584 0.584 0.247
Cs: 0.120 0.120 0.639
Cs: 0.703 0.703 0.890
Cs: 0.880 0.880 0.361
Cs: 0.297 0.297 0.110


Entry 4:
The following is a DFT calculation (PBE) of an optimized crystal structure of GePd4Se8.

Results
As for the space group: R-3m (166). The value obtained for the formation energy from raw total energies is -231 meV/atom.

Cell lengths 7.437, 7.437, 7.437 Å; angles 61.18, 61.18, 61.18 degrees
Fractional coordinates of all 13 atoms:
Se: 0.740 0.740 0.740
Se: 0.260 0.260 0.260
Se: 0.269 0.753 0.753
Se: 0.247 0.731 0.247
Se: 0.731 0.247 0.247
Se: 0.247 0.247 0.731
Se: 0.753 0.269 0.753
Se: 0.753 0.753 0.269
Pd: 0.500 0.000 0.500
Pd: 0.500 0.500 0.000
Pd: 0.000 0.000 0.000
Pd: 0.000 0.500 0.500
Ge: 0.500 0.500 0.500


Entry 5:
The following is a DFT calculation (PBE) of an optimized crystal structure of BiSb2Te2.

Results
As for the space group: I4/mmm (139). Its relative energy among the computed polymorphs is 0.40 eV per formula unit. The value obtained for the formation energy from raw total energies is 188 meV/atom.

Cell lengths 4.213, 4.213, 9.421 Å; angles 77.08, 77.08, 90.00 degrees
Fractional coordinates of all 5 atoms:
Sb: 0.250 0.750 0.500
Sb: 0.750 0.250 0.500
Te: 0.406 0.406 0.187
Te: 0.594 0.594 0.813
Bi: 0.000 0.000 0.000


Entry 6:
The following is a DFT calculation (PBE) of an optimized crystal structure of Ce8Ge4P3.

Results
As for the space group: C2/m (12). The formation energy is -0.89 eV/atom.

Cell lengths 8.346, 8.307, 8.307 Å; angles 90.04, 120.11, 120.11 degrees
Fractional coordinates of all 15 atoms:
P: 0.500 0.500 0.500
P: 0.500 0.000 0.500
P: 0.500 0.500 0.000
Ce: 0.500 0.747 0.253
Ce: 0.008 0.254 0.254
Ce: 0.500 0.253 0.747
Ce: 0.000 0.750 0.250
Ce: 0.499 0.253 0.253
Ce: 0.000 0.250 0.750
Ce: 0.992 0.746 0.746
Ce: 0.501 0.747 0.747
Ge: 0.000 0.000 0.500
Ge: 0.000 0.000 0.000
Ge: 0.000 0.500 0.000
Ge: 0.500 0.000 0.000